Record 1
A plane-wave DFT calculation with PBE was carried out for a relaxed structure of TbGa2Os.

The density of states at the Fermi level comes out at 5.356 states/eV per cell. As for the formation energy: -0.369 eV per atom.

It has space group R-3m (No. 166, hexagonal axes), with a = 4.2487 Å, b = 4.2487 Å, c = 14.7428 Å, α = 90.00°, β = 90.00° and γ = 120.00°. The inequivalent atoms are Tb at (0.0000, 0.0000, 0.0000), Ga at (0.0000, 0.0000, 0.2164) and Os at (0.0000, 0.0000, 0.5000).

Record 2
A plane-wave DFT calculation with PBE was carried out for a relaxed structure of Tb7Ga2Os2.

The density of states at the Fermi level comes out at 14.700 states/eV per cell. As for the formation energy: -0.214 eV per atom.

It has space group Cmmm (No. 65), with a = 7.885 Å, b = 10.856 Å, c = 7.012 Å, α = 90.00°, β = 90.00° and γ = 90.00°. The inequivalent atoms are Tb at (0.000, 0.000, 0.000), Tb at (0.000, 0.500, 0.253), Tb at (0.250, 0.250, 0.260), Ga at (0.166, 0.000, 0.500) and Os at (0.000, 0.297, 0.000).

Record 3
A plane-wave DFT calculation with PBE was carried out for a relaxed structure of Tb2Ga8Os.

The density of states at the Fermi level comes out at 4.176 states/eV per cell. As for the formation energy: -0.450 eV per atom.

It has space group P4/mmm (No. 123), with a = 4.311 Å, b = 4.311 Å, c = 11.274 Å, α = 90.00°, β = 90.00° and γ = 90.00°. The inequivalent atoms are Tb at (0.000, 0.000, 0.193), Ga at (0.000, 0.500, 0.000), Ga at (0.000, 0.500, 0.379), Ga at (0.500, 0.500, 0.191) and Os at (0.000, 0.000, 0.500).

Record 4
A plane-wave DFT calculation with PBE was carried out for a relaxed structure of Tb4GaOs.

The density of states at the Fermi level comes out at 25.246 states/eV per cell. As for the formation energy: -0.341 eV per atom.

It has space group C2/c (No. 15), with a = 8.894 Å, b = 13.282 Å, c = 6.185 Å, α = 90.00°, β = 118.42° and γ = 90.00°. The inequivalent atoms are Tb at (0.118, 0.175, 0.082), Tb at (0.212, 0.433, 0.310), Ga at (0.000, 0.369, 0.750) and Os at (0.000, 0.001, 0.750).

Record 5
A plane-wave DFT calculation with PBE was carried out for a relaxed structure of Tb2Ga6Os.

The density of states at the Fermi level comes out at 8.809 states/eV per cell. As for the formation energy: -0.452 eV per atom.

It has space group C2/m (No. 12), with a = 9.967 Å, b = 5.808 Å, c = 5.812 Å, α = 90.00°, β = 91.03° and γ = 90.00°. The inequivalent atoms are Tb at (0.168, 0.000, 0.146), Ga at (0.085, 0.238, 0.681), Ga at (0.177, 0.500, 0.326) and Os at (0.000, 0.500, 0.000).

Record 6
A plane-wave DFT calculation with PBE was carried out for a relaxed structure of Tb3Ga3Os.

The density of states at the Fermi level comes out at 21.004 states/eV per cell. As for the formation energy: -0.526 eV per atom.

It has space group C2/m (No. 12), with a = 11.023 Å, b = 4.184 Å, c = 14.371 Å, α = 90.00°, β = 109.32° and γ = 90.00°. The inequivalent atoms are Tb at (0.029, 0.000, 0.382), Tb at (0.110, 0.000, 0.922), Tb at (0.241, 0.000, 0.240), Ga at (0.033, 0.500, 0.232), Ga at (0.108, 0.500, 0.075), Ga at (0.138, 0.500, 0.538) and Os at (0.236, 0.500, 0.394).

Record 7
A plane-wave DFT calculation with PBE was carried out for a relaxed structure of Tb8GaOs2.

The density of states at the Fermi level comes out at 19.310 states/eV per cell. As for the formation energy: -0.186 eV per atom.

It has space group C2/m (No. 12), with a = 8.724 Å, b = 12.993 Å, c = 5.512 Å, α = 90.00°, β = 103.81° and γ = 90.00°. The inequivalent atoms are Tb at (0.000, 0.241, 0.000), Tb at (0.124, 0.500, 0.802), Tb at (0.197, 0.133, 0.587), Ga at (0.000, 0.000, 0.000) and Os at (0.000, 0.314, 0.500).

Record 8
A plane-wave DFT calculation with PBE was carried out for a relaxed structure of Tb6GaOs2.

The density of states at the Fermi level comes out at 34.098 states/eV per cell. As for the formation energy: -0.301 eV per atom.

It has space group Immm (No. 71), with a = 9.440 Å, b = 9.480 Å, c = 10.356 Å, α = 90.00°, β = 90.00° and γ = 90.00°. The inequivalent atoms are Tb at (0.000, 0.200, 0.244), Tb at (0.188, 0.500, 0.168), Tb at (0.225, 0.319, 0.500), Ga at (0.000, 0.000, 0.000), Ga at (0.000, 0.000, 0.500), Os at (0.000, 0.326, 0.000) and Os at (0.000, 0.500, 0.379).